Compound: Tb5Tl4H
Source: Alexandria via LeMat-Bulk
Functional: PBE-GGA
Structure: relaxed

Cell lengths 7.339, 7.339, 7.339 Å; angles 99.02, 99.02, 133.36 degrees
Atoms (fractional coordinates):
Tb1 0.000 0.000 0.000
Tb2 0.286 0.371 0.656
Tb3 0.371 0.715 0.085
Tb4 0.630 0.286 0.915
Tb5 0.715 0.630 0.344
Tl1 0.038 0.663 0.704
Tl2 0.334 0.038 0.375
Tl3 0.663 0.959 0.625
Tl4 0.959 0.334 0.296
H1 0.395 0.395 0.000

Output
**Symmetry**: I4
**Crystal system**: tetragonal



Compound: Tb6Tl2H
Source: Alexandria via LeMat-Bulk
Functional: PBE-GGA
Structure: relaxed

Cell lengths 6.464, 8.155, 11.471 Å; angles 90.00, 123.97, 90.00 degrees
Atoms (fractional coordinates):
Tb1 0.088 0.197 0.449
Tb2 0.088 0.303 0.949
Tb3 0.310 0.676 0.449
Tb4 0.310 0.824 0.949
Tb5 0.371 0.028 0.254
Tb6 0.371 0.472 0.754
Tb7 0.629 0.528 0.246
Tb8 0.629 0.972 0.746
Tb9 0.690 0.176 0.051
Tb10 0.690 0.324 0.551
Tb11 0.912 0.697 0.051
Tb12 0.912 0.803 0.551
Tl1 0.168 0.115 0.743
Tl2 0.168 0.385 0.243
Tl3 0.832 0.615 0.757
Tl4 0.832 0.885 0.257
H1 0.000 0.000 0.000
H2 0.000 0.500 0.500

Output
**Symmetry**: P2_1/c
**Crystal system**: monoclinic



Compound: Tb3Tl2H2
Source: Alexandria via LeMat-Bulk
Functional: PBE-GGA
Structure: relaxed

Cell lengths 11.938, 4.396, 7.041 Å; angles 90.00, 126.12, 90.00 degrees
Atoms (fractional coordinates):
Tb1 0.000 0.000 0.000
Tb2 0.198 0.000 0.644
Tb3 0.302 0.500 0.356
Tb4 0.500 0.500 0.000
Tb5 0.698 0.500 0.644
Tb6 0.802 0.000 0.356
Tl1 0.040 0.500 0.748
Tl2 0.460 0.000 0.252
Tl3 0.540 0.000 0.748
Tl4 0.960 0.500 0.252
H1 0.216 0.000 0.340
H2 0.284 0.500 0.660
H3 0.716 0.500 0.340
H4 0.784 0.000 0.660

Output
**Energy above the most stable polymorph in this dataset**: 0.0 meV/atom
**Symmetry**: C2/m
**Crystal system**: monoclinic



Compound: Tb4Tl2H
Source: Alexandria via LeMat-Bulk
Functional: PBE-GGA
Structure: relaxed

Cell lengths 6.203, 6.764, 9.075 Å; angles 90.00, 107.50, 90.00 degrees
Atoms (fractional coordinates):
Tb1 0.181 0.250 0.070
Tb2 0.263 0.000 0.731
Tb3 0.263 0.500 0.731
Tb4 0.281 0.750 0.372
Tb5 0.719 0.250 0.628
Tb6 0.737 0.000 0.269
Tb7 0.737 0.500 0.269
Tb8 0.819 0.750 0.930
Tl1 0.208 0.250 0.420
Tl2 0.345 0.750 0.042
Tl3 0.655 0.250 0.958
Tl4 0.792 0.750 0.580
H1 0.074 0.250 0.802
H2 0.926 0.750 0.198

Output
**Symmetry**: P2_1/m
**Crystal system**: monoclinic



Compound: Tb3TlH2
Source: Alexandria via LeMat-Bulk
Functional: PBE-GGA
Structure: relaxed

Cell lengths 11.885, 11.885, 6.280 Å; angles 104.07, 104.07, 17.51 degrees
Atoms (fractional coordinates):
Tb1 0.036 0.036 0.277
Tb2 0.235 0.235 0.219
Tb3 0.397 0.397 0.138
Tb4 0.603 0.603 0.862
Tb5 0.765 0.765 0.781
Tb6 0.964 0.964 0.723
Tl1 0.351 0.351 0.580
Tl2 0.649 0.649 0.420
H1 0.055 0.055 0.939
H2 0.294 0.294 0.993
H3 0.706 0.706 0.007
H4 0.945 0.945 0.061

Output
**Symmetry**: C2/m
**Crystal system**: monoclinic



Compound: Tb3TlH3
Source: Alexandria via LeMat-Bulk
Functional: PBE-GGA
Structure: relaxed

Cell lengths 8.441, 8.441, 8.441 Å; angles 45.24, 45.24, 45.24 degrees
Atoms (fractional coordinates):
Tb1 0.057 0.396 0.733
Tb2 0.267 0.943 0.604
Tb3 0.396 0.733 0.057
Tb4 0.604 0.267 0.943
Tb5 0.733 0.057 0.396
Tb6 0.943 0.604 0.267
Tl1 0.167 0.167 0.167
Tl2 0.833 0.833 0.833
H1 0.036 0.704 0.367
H2 0.296 0.633 0.964
H3 0.367 0.036 0.704
H4 0.633 0.964 0.296
H5 0.704 0.367 0.036
H6 0.964 0.296 0.633

Output
**Symmetry**: R-3
**Crystal system**: trigonal



| no. | E_tot (eV/atom) |
| --- | --- |
| 1 | -3.7669 |
| 2 | -4.1437 |
| 3 | -4.0676 |
| 4 | -4.1495 |
| 5 | -4.1923 |
| 6 | -4.2109 |